# AcHgTeF, relaxed, DFT GGA-PBE
data_AcHgTeF
_cell_length_a 4.325
_cell_length_b 4.325
_cell_length_c 12.897
_cell_angle_alpha 90.00
_cell_angle_beta 90.00
_cell_angle_gamma 90.00
_symmetry_space_group_name_H-M 'P 1'
_symmetry_Int_Tables_number 1
_symmetry_space_group_name_Hall 'P 1'
loop_
_atom_site_label
_atom_site_type_symbol
_atom_site_fract_x
_atom_site_fract_y
_atom_site_fract_z
Ac1 Ac 0.250 0.250 0.125
Ac2 Ac 0.750 0.750 0.875
Hg1 Hg 0.250 0.750 0.500
Hg2 Hg 0.750 0.250 0.500
Te1 Te 0.250 0.250 0.768
Te2 Te 0.750 0.750 0.232
F1 F 0.250 0.750 0.000
F2 F 0.750 0.250 0.000
# - Formation energy from raw total energies: -1.9924 eV/atom
# - SG: No. 129
# - N(E_F): 0.8 states/eV/f.u.